Material: LiSm3Cd2
Method: DFT, GGA-PBE
State: relaxed

Cell lengths 3.825, 3.825, 11.304 Å; angles 90.00, 90.00, 90.00 degrees
Space group P4/mmm (No. 123)
Symmetry-distinct sites (fractional):
Li: 0.000 0.000 0.000
Sm: 0.500 0.500 0.169
Sm: 0.500 0.500 0.500
Cd: 0.000 0.000 0.331

Raw total energy ... -18.97 eV/cell
Energy relative to the lowest polymorph listed for this composition ... 10 meV per atom
Density of states at the Fermi level ... 7.1 states/eV/cell
ΔE_f ... -0.1783 eV per atom